First-principles (GGA-PBE) data for crystalline Ag2HO at its relaxed geometry, as listed in Alexandria via LeMat-Bulk.

a = 4.0731 Å, b = 4.0731 Å, c = 4.0731 Å
α = 60.00°, β = 60.00°, γ = 60.00°
Positions (direct):
1 Ag 0.2500 0.2500 0.2500
2 Ag 0.7500 0.7500 0.7500
3 H 0.0000 0.0000 0.0000
4 O 0.5000 0.5000 0.5000

E above lowest polymorph   803.3 meV/atom
Spin magnetization   0.00 μB per cell
VASP energy   -3.07 eV per atom
DOS at the Fermi energy   1.41 states/eV per cell
SG   Fm-3m

---

First-principles (GGA-PBE) data for crystalline Pr3Ho3Er at its relaxed geometry, as listed in Alexandria via LeMat-Bulk.

a = 8.8552 Å, b = 8.8552 Å, c = 8.8552 Å
α = 58.99°, β = 58.99°, γ = 58.99°
Positions (direct):
1 Pr 0.0644 0.8157 0.2970
2 Pr 0.1843 0.7030 0.9356
3 Pr 0.2970 0.0644 0.8157
4 Pr 0.7030 0.9356 0.1843
5 Pr 0.8157 0.2970 0.0644
6 Pr 0.9356 0.1843 0.7030
7 Ho 0.0615 0.5703 0.7275
8 Ho 0.2725 0.9385 0.4297
9 Ho 0.4297 0.2725 0.9385
10 Ho 0.5703 0.7275 0.0615
11 Ho 0.7275 0.0615 0.5703
12 Ho 0.9385 0.4297 0.2725
13 Er 0.3489 0.3489 0.3489
14 Er 0.6511 0.6511 0.6511

E above lowest polymorph   233.9 meV/atom
Spin magnetization   0.00 μB per cell
VASP energy   -4.40 eV per atom
Energy relative to the elements   0.260 eV per atom
DOS at the Fermi energy   20.95 states/eV per cell
SG   R-3

---

First-principles (GGA-PBE) data for crystalline CsNaSnO2 at its relaxed geometry, as listed in Alexandria via LeMat-Bulk.

a = 6.2926 Å, b = 6.2926 Å, c = 9.0419 Å
α = 105.18°, β = 105.18°, γ = 39.48°
Positions (direct):
1 Cs 0.1568 0.1568 0.1066
2 Cs 0.8432 0.8432 0.8934
3 Na 0.1887 0.1887 0.5581
4 Na 0.8113 0.8113 0.4419
5 Sn 0.4668 0.4668 0.3054
6 Sn 0.5332 0.5332 0.6946
7 O 0.1176 0.1176 0.7657
8 O 0.3789 0.3789 0.4845
9 O 0.6211 0.6211 0.5155
10 O 0.8824 0.8824 0.2343

E above lowest polymorph   0.0 meV/atom
E_form (uncorrected)   -1.25 eV per atom
Spin magnetization   0.00 μB per cell
VASP energy   -4.47 eV per atom
SG   C2/m

---

First-principles (GGA-PBE) data for crystalline Ac2Dy6Th at its relaxed geometry, as listed in Alexandria via LeMat-Bulk.

a = 3.6619 Å, b = 3.6619 Å, c = 26.9348 Å
α = 90.00°, β = 90.00°, γ = 120.00°
Positions (direct):
1 Ac 0.0000 0.0000 0.1730
2 Ac 0.0000 0.0000 0.8270
3 Dy 0.0000 0.0000 0.3936
4 Dy 0.0000 0.0000 0.6064
5 Dy 0.6667 0.3333 0.0616
6 Dy 0.6667 0.3333 0.2901
7 Dy 0.6667 0.3333 0.7099
8 Dy 0.6667 0.3333 0.9384
9 Th 0.6667 0.3333 0.5000

Spin magnetization   0.01 μB per cell
VASP energy   -4.68 eV per atom
Energy relative to the elements   0.121 eV per atom
DOS at the Fermi energy   16.44 states/eV per cell
SG   P-6m2

---

First-principles (GGA-PBE) data for crystalline CsBaSr2Rh at its relaxed geometry, as listed in Alexandria via LeMat-Bulk.

a = 6.1661 Å, b = 6.1661 Å, c = 6.3051 Å
α = 90.00°, β = 90.00°, γ = 90.00°
Positions (direct):
1 Cs 0.0000 0.0000 0.0000
2 Ba 0.5000 0.5000 0.0000
3 Sr 0.0000 0.5000 0.5000
4 Sr 0.5000 0.0000 0.5000
5 Rh 0.5000 0.5000 0.5000

E above lowest polymorph   0.0 meV/atom
Spin magnetization   0.00 μB per cell
VASP energy   -2.75 eV per atom
Energy relative to the elements   -0.052 eV per atom
DOS at the Fermi energy   4.81 states/eV per cell
SG   P4/mmm

---

First-principles (GGA-PBE) data for crystalline SrAc2Tb at its relaxed geometry, as listed in Alexandria via LeMat-Bulk.

a = 3.9593 Å, b = 3.9593 Å, c = 11.0186 Å
α = 90.00°, β = 90.00°, γ = 90.00°
Positions (direct):
1 Sr 0.0000 0.0000 0.0000
2 Ac 0.5000 0.5000 0.2764
3 Ac 0.5000 0.5000 0.7236
4 Tb 0.0000 0.0000 0.5000

E above lowest polymorph   0.0 meV/atom
Spin magnetization   0.00 μB per cell
VASP energy   -3.57 eV per atom
Energy relative to the elements   0.063 eV per atom
DOS at the Fermi energy   5.79 states/eV per cell
SG   P4/mmm

---

First-principles (GGA-PBE) data for crystalline Sm3Tm5Se8 at its relaxed geometry, as listed in Alexandria via LeMat-Bulk.

a = 8.2138 Å, b = 8.2138 Å, c = 8.2138 Å
α = 59.07°, β = 59.07°, γ = 59.07°
Positions (direct):
1 Sm 0.0000 0.5000 0.5000
2 Sm 0.5000 0.0000 0.5000
3 Sm 0.5000 0.5000 0.0000
4 Tm 0.0000 0.0000 0.0000
5 Tm 0.0000 0.0000 0.5000
6 Tm 0.0000 0.5000 0.0000
7 Tm 0.5000 0.0000 0.0000
8 Tm 0.5000 0.5000 0.5000
9 Se 0.2399 0.7498 0.7498
10 Se 0.2448 0.2448 0.2448
11 Se 0.2502 0.2502 0.7601
12 Se 0.2502 0.7601 0.2502
13 Se 0.7498 0.2399 0.7498
14 Se 0.7498 0.7498 0.2399
15 Se 0.7552 0.7552 0.7552
16 Se 0.7601 0.2502 0.2502

E_form (uncorrected)   -1.72 eV per atom
Spin magnetization   0.00 μB per cell
VASP energy   -5.74 eV per atom
DOS at the Fermi energy   9.46 states/eV per cell
SG   R-3m

---

First-principles (GGA-PBE) data for crystalline TaReRu2Pt at its relaxed geometry, as listed in Alexandria via LeMat-Bulk.

a = 4.6964 Å, b = 4.6964 Å, c = 4.6530 Å
α = 90.00°, β = 90.00°, γ = 90.00°
Positions (direct):
1 Ta 0.0000 0.0000 0.0000
2 Re 0.5000 0.5000 0.0000
3 Ru 0.0000 0.5000 0.5000
4 Ru 0.5000 0.0000 0.5000
5 Pt 0.5000 0.5000 0.5000

Spin magnetization   2.53 μB per cell
VASP energy   -7.69 eV per atom
Energy relative to the elements   2.086 eV per atom
DOS at the Fermi energy   8.98 states/eV per cell
SG   P4/mmm

---

First-principles (GGA-PBE) data for crystalline BeZnN3 at its relaxed geometry, as listed in Alexandria via LeMat-Bulk.

a = 3.4902 Å, b = 3.4902 Å, c = 3.4902 Å
α = 90.00°, β = 90.00°, γ = 90.00°
Positions (direct):
1 Be 0.0000 0.0000 0.0000
2 Zn 0.5000 0.5000 0.5000
3 N 0.0000 0.0000 0.5000
4 N 0.0000 0.5000 0.0000
5 N 0.5000 0.0000 0.0000

E_form (uncorrected)   1.47 eV per atom
Spin magnetization   0.00 μB per cell
VASP energy   -4.53 eV per atom
DOS at the Fermi energy   2.79 states/eV per cell
SG   Pm-3m

---

First-principles (GGA-PBE) data for crystalline K2CdFe at its relaxed geometry, as listed in Alexandria via LeMat-Bulk.

a = 5.5796 Å, b = 5.5796 Å, c = 5.5796 Å
α = 60.00°, β = 60.00°, γ = 60.00°
Positions (direct):
1 K 0.0000 0.0000 0.0000
2 K 0.2500 0.2500 0.2500
3 Cd 0.7500 0.7500 0.7500
4 Fe 0.5000 0.5000 0.5000

Spin magnetization   2.81 μB per cell
VASP energy   -2.17 eV per atom
Energy relative to the elements   0.727 eV per atom
DOS at the Fermi energy   5.37 states/eV per cell
SG   F-43m

---

First-principles (GGA-PBE) data for crystalline SrEr2PuO8 at its relaxed geometry, as listed in Alexandria via LeMat-Bulk.

a = 4.0903 Å, b = 7.5358 Å, c = 5.2950 Å
α = 90.00°, β = 95.79°, γ = 90.00°
Positions (direct):
1 Sr 0.0000 0.0000 0.0000
2 Er 0.5000 0.2559 0.5000
3 Er 0.5000 0.7441 0.5000
4 Pu 0.0000 0.5000 0.0000
5 O 0.0456 0.2929 0.7554
6 O 0.0456 0.7071 0.7554
7 O 0.4372 0.5000 0.2288
8 O 0.4900 0.0000 0.7166
9 O 0.5100 0.0000 0.2834
10 O 0.5628 0.5000 0.7712
11 O 0.9544 0.2929 0.2446
12 O 0.9544 0.7071 0.2446

E_form (uncorrected)   -2.77 eV per atom
Spin magnetization   1.61 μB per cell
VASP energy   -8.17 eV per atom
DOS at the Fermi energy   2.32 states/eV per cell
SG   P2/m

---

First-principles (GGA-PBE) data for crystalline Be2Co2Mo at its relaxed geometry, as listed in Alexandria via LeMat-Bulk.

a = 6.3389 Å, b = 6.3389 Å, c = 2.5680 Å
α = 90.00°, β = 90.00°, γ = 90.00°
Positions (direct):
1 Be 0.1201 0.3799 0.0000
2 Be 0.3799 0.8799 0.0000
3 Be 0.6201 0.1201 0.0000
4 Be 0.8799 0.6201 0.0000
5 Co 0.1721 0.6721 0.5000
6 Co 0.3279 0.1721 0.5000
7 Co 0.6721 0.8279 0.5000
8 Co 0.8279 0.3279 0.5000
9 Mo 0.0000 0.0000 0.0000
10 Mo 0.5000 0.5000 0.0000

E above lowest polymorph   0.0 meV/atom
Spin magnetization   0.00 μB per cell
VASP energy   -6.64 eV per atom
Energy relative to the elements   -0.144 eV per atom
DOS at the Fermi energy   9.20 states/eV per cell
SG   P4/mbm